Density functional theory data (PBE) for AgBi2Pb6 after structural relaxation.

Structure (POSCAR):
```
AgBi2Pb6
1.0
6.2211 0.0000 0.4864
0.0000 9.0118 0.0000
-0.2960 0.0000 10.1610
Pb Bi Ag
12 4 2
Cartesian
3.7385 2.0937 5.9621
2.2376 7.5394 0.3502
0.7759 2.4122 0.6385
5.2002 5.9783 5.6739
0.5770 0.6303 7.9129
0.7249 3.0335 4.9734
3.6875 1.4724 10.2971
5.3481 8.3815 2.7344
3.8355 3.8756 3.0756
2.0896 5.1362 7.5717
2.1866 6.9181 4.6852
5.1492 6.5996 10.0088
0.6787 5.2227 2.2938
5.2464 3.7891 8.3535
3.6413 8.2950 7.6174
2.2838 0.7168 3.0299
3.1105 4.5059 0.2432
-0.1480 0.0000 5.0805
```

Properties
Volume in Å³/cell: 570.95
Formation energy from the elements in eV/f.u.: 0.68
Magnetic moment in μB per formula unit: 0.00
DOS(E_F) in states/eV/cell: 8.66
Energy relative to the lowest polymorph listed for this composition in eV/f.u.: 0.31